(1)
! Y2CrB (PBE, relaxed); values from VASP
&SYSTEM
  ibrav = 0, nat = 8, ntyp = 3
/
ATOMIC_SPECIES
Y 88.91 Y.upf
Cr 52.00 Cr.upf
B 10.81 B.upf
ATOMIC_POSITIONS angstrom
Y 0.834 2.402 0.503
Y -2.402 3.969 1.510
Y -0.834 7.205 0.503
Y 2.402 5.637 1.510
Cr 4.803 0.000 1.007
Cr 0.000 0.000 2.014
B 0.000 0.000 0.000
B 0.000 4.803 1.007
CELL_PARAMETERS angstrom
-4.803 4.803 2.014
4.803 -4.803 2.014
4.803 4.803 -2.014
! Space group   I-42d (122)
! DOS at the Fermi energy   1.0655 states/eV per atom
! Total energy   -56.69 eV for the cell shown
! Calculated formation energy   0.2215 eV/atom

(2)
! YCrB4 (PBE, relaxed); values from VASP
&SYSTEM
  ibrav = 0, nat = 24, ntyp = 3
/
ATOMIC_SPECIES
Y 88.91 Y.upf
Cr 52.00 Cr.upf
B 10.81 B.upf
ATOMIC_POSITIONS angstrom
Y 0.737 1.726 0.000
Y 2.229 7.455 0.000
Y 3.703 4.002 0.000
Y 5.195 9.731 0.000
Cr 0.723 4.820 0.000
Cr 2.243 10.549 0.000
Cr 3.689 0.908 0.000
Cr 5.208 6.637 0.000
B 0.149 7.923 1.724
B 0.670 6.264 1.724
B 0.815 11.084 1.724
B 1.305 9.350 1.724
B 1.660 3.622 1.724
B 2.151 5.355 1.724
B 2.295 0.535 1.724
B 2.817 2.195 1.724
B 3.115 9.262 1.724
B 3.636 10.922 1.724
B 3.781 6.102 1.724
B 4.271 7.835 1.724
B 4.626 2.106 1.724
B 5.116 0.373 1.724
B 5.261 5.193 1.724
B 5.783 3.534 1.724
CELL_PARAMETERS angstrom
5.931 0.000 0.000
0.000 11.457 0.000
0.000 0.000 3.448
! Space group   Pbam (55)
! DOS at the Fermi energy   0.0472 states/eV per atom
! Total energy   -186.97 eV for the cell shown
! Calculated formation energy   -0.6576 eV/atom

(3)
! YCrB14 (PBE, relaxed); values from VASP
&SYSTEM
  ibrav = 0, nat = 32, ntyp = 3
/
ATOMIC_SPECIES
Y 88.91 Y.upf
Cr 52.00 Cr.upf
B 10.81 B.upf
ATOMIC_POSITIONS angstrom
Y 0.000 2.675 1.053
Y 2.928 2.675 3.048
Cr 1.464 2.675 -2.050
Cr 1.464 -2.675 2.050
B 2.928 3.973 -3.032
B 1.476 0.839 -0.395
B 4.380 0.839 -0.395
B 2.928 -0.899 1.401
B 2.928 1.788 0.255
B 1.992 0.675 1.325
B 3.864 0.675 1.325
B 2.928 -1.377 3.032
B 2.928 4.452 -1.401
B 2.928 3.562 0.255
B 1.476 4.511 -0.395
B 1.452 -0.839 3.706
B 1.992 6.025 -1.325
B 0.936 0.675 2.776
B 1.992 4.675 1.325
B 0.936 -0.675 5.426
B 1.476 6.189 0.395
B 1.452 0.839 4.496
B 0.000 1.788 3.846
B 0.000 0.899 5.501
B 0.000 6.728 1.069
B -0.936 4.675 2.776
B 0.936 4.675 2.776
B 0.000 3.562 3.846
B 0.000 6.249 2.700
B -1.452 4.511 4.496
B 1.452 4.511 4.496
B 0.000 1.377 7.133
CELL_PARAMETERS angstrom
-2.928 5.350 4.101
2.928 -5.350 4.101
2.928 5.350 -4.101
! Space group   Imma (74)
! DOS at the Fermi energy   0.2604 states/eV per atom
! Total energy   -224.27 eV for the cell shown
! Calculated formation energy   -0.1602 eV/atom

(4)
! YCrB3 (PBE, relaxed); values from VASP
&SYSTEM
  ibrav = 0, nat = 5, ntyp = 3
/
ATOMIC_SPECIES
Y 88.91 Y.upf
Cr 52.00 Cr.upf
B 10.81 B.upf
ATOMIC_POSITIONS angstrom
Y 0.000 0.000 0.000
Cr 2.255 2.255 2.255
B 0.000 0.000 2.255
B 0.000 2.255 0.000
B 2.255 0.000 0.000
CELL_PARAMETERS angstrom
4.511 0.000 0.000
0.000 4.511 0.000
0.000 0.000 4.511
! Space group   Pm-3m (221)
! ΔE to the lowest computed polymorph   2287.1 meV/atom
! DOS at the Fermi energy   0.7457 states/eV per atom
! Total energy   -24.43 eV for the cell shown
! Calculated formation energy   2.3376 eV/atom

(5)
! YCrB2 (PBE, relaxed); values from VASP
&SYSTEM
  ibrav = 0, nat = 4, ntyp = 3
/
ATOMIC_SPECIES
Y 88.91 Y.upf
Cr 52.00 Cr.upf
B 10.81 B.upf
ATOMIC_POSITIONS angstrom
Y 0.000 0.000 0.000
Cr 2.954 2.954 2.954
B 1.477 1.477 1.477
B 4.432 4.432 4.432
CELL_PARAMETERS angstrom
0.000 2.954 2.954
2.954 0.000 2.954
2.954 2.954 0.000
! Space group   Fm-3m (225)
! ΔE to the lowest computed polymorph   261.6 meV/atom
! DOS at the Fermi energy   0.2095 states/eV per atom
! Total energy   -27.64 eV for the cell shown
! Calculated formation energy   0.4518 eV/atom

(6)
! YCrB2 (PBE, relaxed); values from VASP
&SYSTEM
  ibrav = 0, nat = 8, ntyp = 3
/
ATOMIC_SPECIES
Y 88.91 Y.upf
Cr 52.00 Cr.upf
B 10.81 B.upf
ATOMIC_POSITIONS angstrom
Y 2.056 1.028 1.720
Y 0.000 1.028 5.161
Cr 2.056 -1.028 5.161
Cr 0.000 3.084 1.720
B 0.000 0.000 0.000
B 1.028 1.028 -3.441
B 1.028 -1.028 3.441
B 0.000 2.056 0.000
CELL_PARAMETERS angstrom
-2.056 2.056 6.881
2.056 -2.056 6.881
2.056 2.056 -6.881
! Space group   I4_1/amd (141)
! ΔE to the lowest computed polymorph   0.0 meV/atom
! DOS at the Fermi energy   0.6200 states/eV per atom
! Total energy   -57.36 eV for the cell shown
! Calculated formation energy   0.1903 eV/atom

(7)
! Y3CrB7 (PBE, relaxed); values from VASP
&SYSTEM
  ibrav = 0, nat = 22, ntyp = 3
/
ATOMIC_SPECIES
Y 88.91 Y.upf
Cr 52.00 Cr.upf
B 10.81 B.upf
ATOMIC_POSITIONS angstrom
Y 1.723 6.259 5.245
Y 1.723 6.259 8.802
Y 1.723 4.097 2.341
Y 1.723 -4.097 7.023
Y 1.723 -6.259 0.562
Y 1.723 -6.259 4.120
Cr 1.723 7.076 2.341
Cr 1.723 -7.076 7.023
B 1.723 3.596 4.985
B 1.723 3.596 9.062
B 1.723 2.074 6.099
B 1.723 2.074 7.947
B 1.723 0.638 2.341
B 1.723 0.338 5.587
B 1.723 0.338 8.459
B 1.723 -0.338 0.905
B 1.723 -0.338 3.777
B 1.723 -0.638 7.023
B 1.723 -2.074 1.417
B 1.723 -2.074 3.265
B 1.723 -3.596 0.302
B 1.723 -3.596 4.380
CELL_PARAMETERS angstrom
1.723 -7.923 0.000
1.723 7.923 0.000
0.000 0.000 9.364
! Space group   Cmcm (63)
! DOS at the Fermi energy   0.3532 states/eV per atom
! Total energy   -164.53 eV for the cell shown
! Calculated formation energy   -0.5914 eV/atom

(8)
! YZrCrB2 (PBE, relaxed); values from VASP
&SYSTEM
  ibrav = 0, nat = 5, ntyp = 4
/
ATOMIC_SPECIES
Y 88.91 Y.upf
Zr 91.22 Zr.upf
Cr 52.00 Cr.upf
B 10.81 B.upf
ATOMIC_POSITIONS angstrom
Y 0.000 0.000 0.000
Zr 2.109 2.109 0.000
Cr 2.109 2.109 2.242
B 0.000 2.109 2.242
B 2.109 0.000 2.242
CELL_PARAMETERS angstrom
4.219 0.000 0.000
0.000 4.219 0.000
0.000 0.000 4.484
! Space group   P4/mmm (123)
! DOS at the Fermi energy   0.5646 states/eV per atom
! Total energy   -35.09 eV for the cell shown
! Calculated formation energy   0.5796 eV/atom